1.
# V2CN2

Crystalline V2CN2 at its relaxed geometry (PBE-GGA, Alexandria via LeMat-Bulk).

Results
ΔE to the lowest computed polymorph	0.0	kJ per mole of atoms
spin magnetization	0.000	μB per formula unit
E_form (uncorrected)	-0.0024	eV per atom
energy	-8.825	eV per atom
N(E_F)	4.8	states/eV per cell

Unit cell a=5.579 b=5.579 c=2.691 alpha=90.00 beta=90.00 gamma=90.00
Space group P4/mbm (No. 127)
Inequivalent atoms, fractional coordinates:
V: 0.158 0.342 0.000
C: 0.000 0.000 0.000
N: 0.139 0.639 0.500


2.
# AcGdGePb

Crystalline AcGdGePb at its relaxed geometry (PBE-GGA, Alexandria via LeMat-Bulk).

Results
spin magnetization	7.186	μB per formula unit
energy relative to the elements	-431.4	meV per atom
energy	-7.060	eV per atom
N(E_F)	20.7	states/eV per cell

Unit cell a=7.830 b=7.830 c=7.830 alpha=90.00 beta=90.00 gamma=90.00
Space group F-43m (No. 216)
Inequivalent atoms, fractional coordinates:
Ac: 0.000 0.000 0.000
Gd: 0.000 0.000 0.500
Ge: 0.250 0.250 0.750
Pb: 0.250 0.250 0.250


3.
# Be2Zn2Rh

Crystalline Be2Zn2Rh at its relaxed geometry (PBE-GGA, Alexandria via LeMat-Bulk).

Results
spin magnetization	0.000	μB per formula unit
energy relative to the elements	-111.9	meV per atom
energy	-3.582	eV per atom
N(E_F)	3.5	states/eV per cell

Unit cell a=6.254 b=6.254 c=2.952 alpha=90.00 beta=90.00 gamma=90.00
Space group P4/mbm (No. 127)
Inequivalent atoms, fractional coordinates:
Be: 0.130 0.370 0.000
Zn: 0.166 0.666 0.500
Rh: 0.000 0.000 0.000


> Look up the spin magnetization of the first one.

0.000 μB per formula unit